Density functional theory data (PBE-GGA) for a relaxed LaRe4 crystal.

Calculated total energy, eV for the cell shown: -106.83
Formation energy from the elements, kJ/mol of formula units: 126
Energy relative to the lowest polymorph listed for this composition, meV per atom: 183.2

Cell and atoms, written as CIF:
```
data_LaRe4
_chemical_formula_sum 'La2 Re8'
_cell_length_a 3.068
_cell_length_b 3.068
_cell_length_c 19.303
_cell_angle_alpha 90.00
_cell_angle_beta 90.00
_cell_angle_gamma 90.00
_space_group_name_H-M_alt 'P 1'
_space_group_IT_number 1
_space_group_name_Hall 'P 1'
loop_
_atom_site_label
_atom_site_type_symbol
_atom_site_fract_x
_atom_site_fract_y
_atom_site_fract_z
La1 La 0.000 0.000 0.000
La2 La 0.500 0.500 0.500
Re1 Re 0.000 0.000 0.201
Re2 Re 0.000 0.000 0.372
Re3 Re 0.000 0.000 0.628
Re4 Re 0.000 0.000 0.799
Re5 Re 0.500 0.500 0.128
Re6 Re 0.500 0.500 0.299
Re7 Re 0.500 0.500 0.701
Re8 Re 0.500 0.500 0.872
```

Density functional theory data (PBE-GGA) for a relaxed Er2MnHg crystal.

Calculated total energy, eV for the cell shown: -19.27
Formation energy from the elements, kJ/mol of formula units: -65
Energy relative to the lowest polymorph listed for this composition, meV per atom: 0.0

Cell and atoms, written as CIF:
```
data_Er2MnHg
_chemical_formula_sum 'Er2 Mn1 Hg1'
_cell_length_a 3.508
_cell_length_b 3.508
_cell_length_c 7.530
_cell_angle_alpha 90.00
_cell_angle_beta 90.00
_cell_angle_gamma 90.00
_space_group_name_H-M_alt 'P 1'
_space_group_IT_number 1
_space_group_name_Hall 'P 1'
loop_
_atom_site_label
_atom_site_type_symbol
_atom_site_fract_x
_atom_site_fract_y
_atom_site_fract_z
Er1 Er 0.000 0.000 0.229
Er2 Er 0.000 0.000 0.771
Mn1 Mn 0.500 0.500 0.000
Hg1 Hg 0.500 0.500 0.500
```

Density functional theory data (PBE-GGA) for a relaxed La6TbPm2Dy crystal.

Calculated total energy, eV for the cell shown: -94.36
Formation energy from the elements, kJ/mol of formula units: 108

Cell and atoms, written as CIF:
```
data_La6TbPm2Dy
_chemical_formula_sum 'La12 Tb2 Pm4 Dy2'
_cell_length_a 9.141
_cell_length_b 9.141
_cell_length_c 9.290
_cell_angle_alpha 90.49
_cell_angle_beta 90.49
_cell_angle_gamma 114.51
_space_group_name_H-M_alt 'P 1'
_space_group_IT_number 1
_space_group_name_Hall 'P 1'
loop_
_atom_site_label
_atom_site_type_symbol
_atom_site_fract_x
_atom_site_fract_y
_atom_site_fract_z
La1 La 0.035 0.471 0.681
La2 La 0.070 0.782 0.904
La3 La 0.218 0.930 0.596
La4 La 0.277 0.575 0.090
La5 La 0.425 0.723 0.410
La6 La 0.471 0.035 0.181
La7 La 0.529 0.965 0.819
La8 La 0.575 0.277 0.590
La9 La 0.723 0.425 0.910
La10 La 0.782 0.070 0.404
La11 La 0.930 0.218 0.096
La12 La 0.965 0.529 0.319
Tb1 Tb 0.435 0.565 0.750
Tb2 Tb 0.565 0.435 0.250
Pm1 Pm 0.206 0.295 0.437
Pm2 Pm 0.295 0.206 0.937
Pm3 Pm 0.705 0.794 0.063
Pm4 Pm 0.794 0.705 0.563
Dy1 Dy 0.071 0.929 0.250
Dy2 Dy 0.929 0.071 0.750
```

Repeat the second record exactly.
Density functional theory data (PBE-GGA) for a relaxed Er2MnHg crystal.

Calculated total energy, eV for the cell shown: -19.27
Formation energy from the elements, kJ/mol of formula units: -65
Energy relative to the lowest polymorph listed for this composition, meV per atom: 0.0

Cell and atoms, written as CIF:
```
data_Er2MnHg
_chemical_formula_sum 'Er2 Mn1 Hg1'
_cell_length_a 3.508
_cell_length_b 3.508
_cell_length_c 7.530
_cell_angle_alpha 90.00
_cell_angle_beta 90.00
_cell_angle_gamma 90.00
_space_group_name_H-M_alt 'P 1'
_space_group_IT_number 1
_space_group_name_Hall 'P 1'
loop_
_atom_site_label
_atom_site_type_symbol
_atom_site_fract_x
_atom_site_fract_y
_atom_site_fract_z
Er1 Er 0.000 0.000 0.229
Er2 Er 0.000 0.000 0.771
Mn1 Mn 0.500 0.500 0.000
Hg1 Hg 0.500 0.500 0.500
```